[1]
# LiScMo2 GGA-PBEsol optimized geometry
data_LiScMo2
_chemical_formula_sum 'Li4 Sc4 Mo8'
_cell_length_a 6.291
_cell_length_b 6.291
_cell_length_c 6.291
_cell_angle_alpha 90.00
_cell_angle_beta 90.00
_cell_angle_gamma 90.00
_space_group_name_H-M_alt 'F m -3 m'
_space_group_IT_number 225
_space_group_name_Hall '-F 4 2 3'
loop_
_atom_site_label
_atom_site_type_symbol
_atom_site_fract_x
_atom_site_fract_y
_atom_site_fract_z
Li1 Li 0.000 0.000 0.000
Sc1 Sc 0.000 0.000 0.500
Mo1 Mo 0.250 0.250 0.250
# ΔE to the lowest computed polymorph: 508.9 meV/atom
# Energy relative to the elements: 0.7952 eV/atom
# DOS(E_F): 5.38 states/eV/f.u.

[2]
# GaCuS2 GGA-PBEsol optimized geometry
data_GaCuS2
_chemical_formula_sum 'Ga4 Cu4 S8'
_cell_length_a 5.277
_cell_length_b 5.277
_cell_length_c 10.468
_cell_angle_alpha 90.00
_cell_angle_beta 90.00
_cell_angle_gamma 90.00
_space_group_name_H-M_alt 'I -4 2 d'
_space_group_IT_number 122
_space_group_name_Hall 'I -4 2bw'
loop_
_atom_site_label
_atom_site_type_symbol
_atom_site_fract_x
_atom_site_fract_y
_atom_site_fract_z
Ga1 Ga 0.000 0.000 0.000
Cu1 Cu 0.000 0.000 0.500
S1 S 0.246 0.250 0.625
# Raw formation energy: -0.61 eV per atom

[3]
# NaY2F7 GGA-PBEsol optimized geometry
data_NaY2F7
_chemical_formula_sum 'Na2 Y4 F14'
_cell_length_a 6.763
_cell_length_b 3.904
_cell_length_c 10.790
_cell_angle_alpha 90.00
_cell_angle_beta 102.00
_cell_angle_gamma 90.00
_space_group_name_H-M_alt 'C 1 2/m 1'
_space_group_IT_number 12
loop_
_space_group_symop_operation_xyz
'x,y,z'
'-x,-y,-z'
'-x,y,-z'
'x,-y,z'
'x+1/2,y+1/2,z'
'-x+1/2,-y+1/2,-z'
'-x+1/2,y+1/2,-z'
'x+1/2,-y+1/2,z'
loop_
_atom_site_label
_atom_site_type_symbol
_atom_site_fract_x
_atom_site_fract_y
_atom_site_fract_z
Na1 Na 0.000 0.000 0.000
Y1 Y 0.069 0.500 0.706
F1 F 0.000 0.500 0.500
F2 F 0.081 0.000 0.244
F3 F 0.135 0.500 0.907
F4 F 0.221 0.000 0.662
# Raw formation energy: -3.87 eV per atom
# DOS(E_F): 0.00 states/eV/f.u.

One value per record, in order, for size of the total moment: 0.01 0.00 0.31 μB per cell.
One value per record, in order, for electronic total energy: -7.23 -4.72 -6.72 eV per atom.